DFT (GGA-PBE) results for a relaxed Ca2NiSn4Ir3 crystal.

a = 4.4829 Å, b = 4.4829 Å, c = 10.8775 Å
α = 90.00°, β = 90.00°, γ = 90.00°
Space group P-4m2 (No. 115)
Inequivalent atoms, fractional coordinates:
Ca 0.0000 0.5000 0.2421 x2
Ni 0.5000 0.5000 0.0000 x1
Sn 0.0000 0.0000 0.5000 x1
Sn 0.0000 0.5000 0.8756 x2
Sn 0.5000 0.5000 0.5000 x1
Ir 0.0000 0.0000 0.0000 x1
Ir 0.0000 0.5000 0.6345 x2

- size of the total moment (μB per atom) = 0.00
- DFT formation energy (eV/atom) = -0.414